DFT (GGA-PBE) results for crystalline Sb3TeN at its relaxed geometry.

a b c (Å): 4.865 4.865 4.865
angles (deg): 90.00 90.00 90.00
Fractional coordinates of all 5 atoms:
Te 0.500 0.500 0.500
Sb 0.000 0.500 0.000
Sb 0.000 0.000 0.500
Sb 0.500 0.000 0.000
N 0.000 0.000 0.000

Calculated values
**Space group**: Pm-3m, No. 221
**DOS at the Fermi energy**: 3.46 states/eV/cell
**E_form (uncorrected)**: 0.597 eV/atom
**Total magnetization**: 0.000 Bohr magnetons per cell
**Electronic total energy**: -4.170 eV/atom

DFT (GGA-PBE) results for crystalline SbTeN at its relaxed geometry.

a b c (Å): 5.221 8.094 7.057
angles (deg): 54.73 141.73 121.13
Fractional coordinates of all 6 atoms:
Sb 0.603 0.209 0.048
Sb 0.397 0.791 0.952
N 0.490 0.110 0.766
N 0.510 0.890 0.234
Te 0.724 0.287 0.556
Te 0.276 0.713 0.444

Calculated values
**Space group**: P-1, No. 2
**DOS at the Fermi energy**: 0.05 states/eV/cell
**E_form (uncorrected)**: 0.426 eV/atom
**Total magnetization**: 0.000 Bohr magnetons per cell
**Electronic total energy**: -4.770 eV/atom

DFT (GGA-PBE) results for crystalline SbTe2N2 at its relaxed geometry.

a b c (Å): 4.752 4.752 4.260
angles (deg): 90.00 90.00 90.00
Fractional coordinates of all 5 atoms:
N 0.000 0.000 0.000
N 0.000 0.000 0.500
Te 0.500 0.000 0.000
Te 0.000 0.500 0.000
Sb 0.500 0.500 0.500

Calculated values
**Space group**: P4/mmm, No. 123
**DOS at the Fermi energy**: 3.18 states/eV/cell
**E_form (uncorrected)**: 1.487 eV/atom
**Total magnetization**: 1.451 Bohr magnetons per cell
**Electronic total energy**: -3.924 eV/atom

DFT (GGA-PBE) results for crystalline SbTeN2 at its relaxed geometry.

a b c (Å): 5.444 3.899 11.335
angles (deg): 83.56 64.46 45.30
Fractional coordinates of all 4 atoms:
N 0.916 0.153 0.644
N 0.655 0.539 0.719
Sb 0.720 0.938 0.253
Te 0.408 0.796 0.123

Calculated values
**Space group**: P1, No. 1
**DOS at the Fermi energy**: 0.45 states/eV/cell
**E_form (uncorrected)**: 0.081 eV/atom
**Total magnetization**: 0.000 Bohr magnetons per cell
**Electronic total energy**: -5.898 eV/atom

DFT (GGA-PBE) results for crystalline SbTeN2 at its relaxed geometry.

a b c (Å): 4.362 4.362 4.362
angles (deg): 60.00 60.00 60.00
Fractional coordinates of all 4 atoms:
Te 0.500 0.500 0.500
N 0.250 0.250 0.250
N 0.750 0.750 0.750
Sb 0.000 0.000 0.000

Calculated values
**Space group**: Fm-3m, No. 225
**DOS at the Fermi energy**: 1.50 states/eV/cell
**E_form (uncorrected)**: 1.607 eV/atom
**Total magnetization**: 0.000 Bohr magnetons per cell
**Electronic total energy**: -4.372 eV/atom

DFT (GGA-PBE) results for crystalline SbTe2N2 at its relaxed geometry.

a b c (Å): 4.124 4.115 13.311
angles (deg): 105.22 90.30 120.04
Fractional coordinates of all 5 atoms:
Sb 0.000 0.000 0.000
Te 0.752 0.500 0.145
Te 0.248 0.500 0.855
N 0.922 0.847 0.472
N 0.078 0.153 0.528

Calculated values
**Space group**: P-1, No. 2
**DOS at the Fermi energy**: 2.29 states/eV/cell
**E_form (uncorrected)**: -0.002 eV/atom
**Total magnetization**: 0.000 Bohr magnetons per cell
**Electronic total energy**: -5.413 eV/atom